# MgSF3 PBE optimized geometry
# D(E_F), states/eV/cell: 0.00
# Raw formation energy, kJ per mole of atoms: -177.3
# Offset from the most stable computed form, eV per atom: 0.0000
data_MgSF3
_chemical_formula_sum 'Mg1 S1 F3'
_cell_length_a 4.037
_cell_length_b 4.037
_cell_length_c 4.037
_cell_angle_alpha 90.00
_cell_angle_beta 90.00
_cell_angle_gamma 90.00
_space_group_name_H-M_alt 'P 1'
_space_group_IT_number 1
_space_group_name_Hall 'P 1'
loop_
_atom_site_label
_atom_site_type_symbol
_atom_site_fract_x
_atom_site_fract_y
_atom_site_fract_z
Mg1 Mg 0.000 0.000 0.000
F1 F 0.000 0.000 0.500
F2 F 0.500 0.000 0.000
F3 F 0.000 0.500 0.000
S1 S 0.500 0.500 0.500